1.
Below is an optimized crystal structure of ScCoRh2, with properties calculated at the PBEsol level.

Output
Crystal system: monoclinic
Energy relative to the elements in meV per atom: -317

a = 9.716 Å, b = 2.819 Å, c = 4.537 Å
α = 90.00°, β = 117.15°, γ = 90.00°
Space group Cm (No. 8)
Unique sites:
Sc 0.000 0.000 0.000
Co 0.246 0.000 0.594
Rh 0.007 0.500 0.518
Rh 0.259 0.500 0.108

***

2.
Below is an optimized crystal structure of CuPdI2O, with properties calculated at the PBEsol level.

Output
Crystal system: tetragonal
ΔE_f (raw) in eV per atom: 0.252

a = 5.360 Å, b = 5.360 Å, c = 3.499 Å
α = 90.00°, β = 90.00°, γ = 90.00°
Space group P4/mmm (No. 123)
Unique sites:
Cu 0.000 0.000 0.000
Pd 0.500 0.500 0.500
I 0.000 0.500 0.000
O 0.000 0.000 0.500

***

3.
Below is an optimized crystal structure of TlPb, with properties calculated at the PBEsol level.

Output
Crystal system: orthorhombic
Energy relative to the elements in meV per atom: 17

a = 3.546 Å, b = 5.648 Å, c = 5.763 Å
α = 90.00°, β = 90.00°, γ = 90.00°
Space group Pmmn (No. 59, origin choice 2)
Unique sites:
Tl 0.250 0.250 0.068
Pb 0.250 0.750 0.428

***

4.
Below is an optimized crystal structure of Y2ScCo2, with properties calculated at the PBEsol level.

Output
Crystal system: tetragonal
Energy relative to the elements in meV per atom: -186

a = 6.875 Å, b = 6.875 Å, c = 4.106 Å
α = 90.00°, β = 90.00°, γ = 90.00°
Space group P4/mbm (No. 127)
Unique sites:
Y 0.178 0.322 0.000
Sc 0.000 0.000 0.500
Co 0.114 0.614 0.500

***

5.
Below is an optimized crystal structure of MnNb4O12, with properties calculated at the PBEsol level.

Output
Crystal system: triclinic
ΔE_f (raw) in eV per atom: -2.308

a = 5.081 Å, b = 5.564 Å, c = 7.620 Å
α = 83.88°, β = 88.92°, γ = 89.83°
Space group P1 (No. 1)
Unique sites:
Mn 0.000 0.000 0.000
Nb 0.008 0.606 0.796
Nb 0.472 0.122 0.295
Nb 0.508 0.142 0.783
Nb 0.972 0.612 0.317
O 0.102 0.686 0.058
O 0.184 0.956 0.779
O 0.186 0.342 0.356
O 0.295 0.841 0.367
O 0.320 0.138 0.053
O 0.337 0.466 0.757
O 0.600 0.129 0.552
O 0.679 0.452 0.255
O 0.723 0.858 0.881
O 0.816 0.975 0.212
O 0.838 0.301 0.891
O 0.873 0.647 0.570

***

6.
Below is an optimized crystal structure of LiHgOs3, with properties calculated at the PBEsol level.

Output
Crystal system: cubic
Energy relative to the elements in meV per atom: 3178

a = 4.937 Å, b = 4.937 Å, c = 4.937 Å
α = 90.00°, β = 90.00°, γ = 90.00°
Space group Pm-3m (No. 221)
Unique sites:
Li 0.000 0.000 0.000
Hg 0.500 0.500 0.500
Os 0.000 0.500 0.500

***

7.
Below is an optimized crystal structure of ZnRe2Ag, with properties calculated at the PBEsol level.

Output
Crystal system: trigonal
Energy relative to the elements in meV per atom: 116

a = 2.7663 Å, b = 2.7663 Å, c = 27.0264 Å
α = 90.00°, β = 90.00°, γ = 120.00°
Space group R3m (No. 160, hexagonal axes)
Unique sites:
Zn 0.0000 0.0000 0.0000
Re 0.0000 0.0000 0.2506
Re 0.0000 0.0000 0.5071
Ag 0.0000 0.0000 0.7494

***

8.
Below is an optimized crystal structure of Cd2CoBr, with properties calculated at the PBEsol level.

Output
Crystal system: orthorhombic
ΔE_f (raw) in eV per atom: 0.269

a = 2.949 Å, b = 4.049 Å, c = 12.644 Å
α = 90.00°, β = 90.00°, γ = 90.00°
Space group Immm (No. 71)
Unique sites:
Cd 0.000 0.000 0.185
Co 0.000 0.500 0.500
Br 0.000 0.500 0.000

***

Repeat the fifth record exactly.
Below is an optimized crystal structure of MnNb4O12, with properties calculated at the PBEsol level.

Output
Crystal system: triclinic
ΔE_f (raw) in eV per atom: -2.308

a = 5.081 Å, b = 5.564 Å, c = 7.620 Å
α = 83.88°, β = 88.92°, γ = 89.83°
Space group P1 (No. 1)
Unique sites:
Mn 0.000 0.000 0.000
Nb 0.008 0.606 0.796
Nb 0.472 0.122 0.295
Nb 0.508 0.142 0.783
Nb 0.972 0.612 0.317
O 0.102 0.686 0.058
O 0.184 0.956 0.779
O 0.186 0.342 0.356
O 0.295 0.841 0.367
O 0.320 0.138 0.053
O 0.337 0.466 0.757
O 0.600 0.129 0.552
O 0.679 0.452 0.255
O 0.723 0.858 0.881
O 0.816 0.975 0.212
O 0.838 0.301 0.891
O 0.873 0.647 0.570